[1]
NaHg2C2O6 | PBE | relaxed

Unit cell a=5.2837 b=8.1540 c=5.3497 alpha=88.81 beta=59.53 gamma=56.58
Sites, in units of the cell vectors:
Na1 0.5000 0.0000 0.5000
Hg1 0.5870 0.6347 0.9735
Hg2 0.4130 0.3653 0.0265
C1 0.0951 0.7637 0.7196
C2 0.9049 0.2363 0.2804
O1 0.3488 0.7743 0.6760
O2 0.0963 0.2602 0.0230
O3 0.0245 0.7758 0.5187
O4 0.9037 0.7398 0.9770
O5 0.9755 0.2242 0.4813
O6 0.6512 0.2257 0.3240

Calculated values
- DOS(E_F): 1.225 states/eV per cell
- Energy: -62.11 eV/cell
- E_form (uncorrected): -1.09 eV per atom
- Total moment: 0.00 Bohr magnetons per cell
- Theoretical density: 5.84 g/cm³


[2]
PmDy6Ho2Th | PBE | relaxed

Unit cell a=9.5968 b=8.7460 c=8.7460 alpha=117.16 beta=93.96 gamma=93.96
Sites, in units of the cell vectors:
Pm1 0.2500 0.9753 0.0247
Pm2 0.7500 0.0247 0.9753
Dy1 0.0593 0.1210 0.7475
Dy2 0.4407 0.2525 0.8790
Dy3 0.9407 0.8790 0.2525
Dy4 0.5593 0.7475 0.1210
Dy5 0.3161 0.9770 0.4290
Dy6 0.1839 0.5710 0.0230
Dy7 0.6839 0.0230 0.5710
Dy8 0.8161 0.4290 0.9770
Dy9 0.1184 0.7026 0.4921
Dy10 0.3816 0.5079 0.2974
Dy11 0.8816 0.2974 0.5079
Dy12 0.6184 0.4921 0.7026
Ho1 0.4535 0.8067 0.7039
Ho2 0.0465 0.2961 0.1933
Ho3 0.5465 0.1933 0.2961
Ho4 0.9535 0.7039 0.8067
Th1 0.2500 0.4061 0.5939
Th2 0.7500 0.5939 0.4061

Calculated values
- DOS(E_F): 29.930 states/eV per cell
- Energy: -94.98 eV/cell
- Total moment: 0.00 Bohr magnetons per cell
- Theoretical density: 8.63 g/cm³


[3]
La2Zn2Rh | PBE | relaxed

Unit cell a=6.0737 b=6.0737 c=12.0552 alpha=64.76 beta=64.76 gamma=38.40
Sites, in units of the cell vectors:
La1 0.9275 0.9275 0.8596
La2 0.2079 0.2079 0.3796
La3 0.0725 0.0725 0.1404
La4 0.7921 0.7921 0.6204
Zn1 0.3798 0.3798 0.0852
Zn2 0.4878 0.4878 0.3875
Zn3 0.6202 0.6202 0.9148
Zn4 0.5122 0.5122 0.6125
Rh1 0.7238 0.7238 0.1975
Rh2 0.2762 0.2762 0.8025

Calculated values
- DOS(E_F): 7.196 states/eV per cell
- Energy: -44.77 eV/cell
- Total moment: 0.00 Bohr magnetons per cell
- Theoretical density: 6.89 g/cm³


[4]
CuPtW3 | PBE | relaxed

Unit cell a=4.4538 b=4.4538 c=4.4538 alpha=90.00 beta=90.00 gamma=90.00
Sites, in units of the cell vectors:
Cu1 0.0000 0.0000 0.0000
W1 0.0000 0.5000 0.0000
W2 0.0000 0.0000 0.5000
W3 0.5000 0.0000 0.0000
Pt1 0.5000 0.5000 0.5000

Calculated values
- DOS(E_F): 6.594 states/eV per cell
- Energy: -40.58 eV/cell
- Total moment: 0.00 Bohr magnetons per cell
- Theoretical density: 15.23 g/cm³


[5]
Er8Ni2Au | PBE | relaxed

Unit cell a=5.5453 b=7.6244 c=7.6244 alpha=114.15 beta=98.73 gamma=98.73
Sites, in units of the cell vectors:
Er1 0.5795 0.3402 0.0807
Er2 0.5795 0.0807 0.3402
Er3 0.1790 0.3779 0.3779
Er4 0.9932 0.2356 0.7718
Er5 0.9932 0.7718 0.2356
Er6 0.8066 0.6276 0.6276
Er7 0.4010 0.9261 0.6670
Er8 0.4010 0.6670 0.9261
Ni1 0.4930 0.6995 0.3063
Ni2 0.4930 0.3063 0.6995
Au1 0.0806 0.0012 0.0012

Calculated values
- DOS(E_F): 13.742 states/eV per cell
- Energy: -53.84 eV/cell
- Total moment: 0.00 Bohr magnetons per cell
- Theoretical density: 9.72 g/cm³


[6]
SrSiPCl2 | PBE | relaxed

Unit cell a=5.3839 b=5.3839 c=6.2107 alpha=90.00 beta=90.00 gamma=90.00
Sites, in units of the cell vectors:
Sr1 0.0000 0.0000 0.0000
Si1 0.5000 0.5000 0.5000
P1 0.0000 0.0000 0.5000
Cl1 0.0000 0.5000 0.0000
Cl2 0.5000 0.0000 0.0000

Calculated values
- DOS(E_F): 2.099 states/eV per cell
- Energy: -16.25 eV/cell
- E_form (uncorrected): -0.01 eV per atom
- Total moment: 1.00 Bohr magnetons per cell
- Theoretical density: 2.01 g/cm³


[7]
PmDyInSn | PBE | relaxed

Unit cell a=4.6073 b=4.3565 c=6.2279 alpha=90.00 beta=111.71 gamma=90.00
Sites, in units of the cell vectors:
Pm1 0.8632 0.5000 0.7265
Dy1 0.1365 0.0000 0.2730
In1 0.4134 0.0000 0.8268
Sn1 0.5868 0.5000 0.1737

Calculated values
- DOS(E_F): 3.720 states/eV per cell
- Energy: -18.57 eV/cell
- Total moment: 0.00 Bohr magnetons per cell
- Theoretical density: 7.74 g/cm³


[8]
AgS2NO | PBE | relaxed

Unit cell a=4.9553 b=4.9553 c=4.0757 alpha=90.00 beta=90.00 gamma=90.00
Sites, in units of the cell vectors:
S1 0.0000 0.5000 0.0000
S2 0.5000 0.0000 0.0000
O1 0.5000 0.5000 0.5000
Ag1 0.0000 0.0000 0.0000
N1 0.0000 0.0000 0.5000

Calculated values
- DOS(E_F): 6.190 states/eV per cell
- Energy: -14.10 eV/cell
- E_form (uncorrected): 2.06 eV per atom
- Total moment: 3.16 Bohr magnetons per cell
- Theoretical density: 3.35 g/cm³


[9]
SrGa2SiPd | PBE | relaxed

Unit cell a=4.3505 b=4.2384 c=6.1789 alpha=110.06 beta=110.61 gamma=90.00
Sites, in units of the cell vectors:
Sr1 0.4415 0.4415 0.8829
Ga1 0.6911 0.1911 0.3822
Ga2 0.0567 0.0567 0.1133
Si1 0.8212 0.8212 0.6424
Pd1 0.2017 0.7017 0.4034

Calculated values
- DOS(E_F): 2.139 states/eV per cell
- Energy: -21.14 eV/cell
- E_form (uncorrected): -0.56 eV per atom
- Total moment: 0.00 Bohr magnetons per cell
- Theoretical density: 6.05 g/cm³


[10]
PaZnInNi | PBE | relaxed

Unit cell a=4.7397 b=4.7397 c=4.7397 alpha=60.00 beta=60.00 gamma=60.00
Sites, in units of the cell vectors:
Ni1 0.7500 0.7500 0.7500
Zn1 0.2500 0.2500 0.2500
Pa1 0.0000 0.0000 0.0000
In1 0.5000 0.5000 0.5000

Calculated values
- DOS(E_F): 2.760 states/eV per cell
- Energy: -20.00 eV/cell
- Total moment: 0.00 Bohr magnetons per cell
- Theoretical density: 10.36 g/cm³


[11]
Li3Cd4Sn | PBE | relaxed

Unit cell a=4.3693 b=4.3351 c=10.9549 alpha=126.45 beta=101.50 gamma=90.00
Sites, in units of the cell vectors:
Li1 0.0000 0.5000 0.0000
Li2 0.1210 0.3627 0.2420
Li3 0.8790 0.6373 0.7580
Cd1 0.2455 0.2364 0.4911
Cd2 0.7545 0.7636 0.5089
Cd3 0.6244 0.8726 0.2489
Cd4 0.3756 0.1274 0.7511
Sn1 0.5000 0.0000 0.0000

Calculated values
- DOS(E_F): 1.852 states/eV per cell
- Energy: -15.22 eV/cell
- Total moment: 0.00 Bohr magnetons per cell
- Theoretical density: 6.05 g/cm³


[12]
Sb3MoRh | PBE | relaxed

Unit cell a=5.1444 b=5.1444 c=5.1444 alpha=90.00 beta=90.00 gamma=90.00
Sites, in units of the cell vectors:
Sb1 0.0000 0.5000 0.0000
Sb2 0.0000 0.0000 0.5000
Sb3 0.5000 0.0000 0.0000
Mo1 0.0000 0.0000 0.0000
Rh1 0.5000 0.5000 0.5000

Calculated values
- DOS(E_F): 4.817 states/eV per cell
- Energy: -26.10 eV/cell
- E_form (uncorrected): 0.89 eV per atom
- Total moment: 0.00 Bohr magnetons per cell
- Theoretical density: 6.88 g/cm³


[13]
Bi2H6IrPt | PBE | relaxed

Unit cell a=4.7375 b=4.8874 c=8.1044 alpha=60.71 beta=59.20 gamma=97.11
Sites, in units of the cell vectors:
Bi1 0.7098 0.1597 0.5599
Bi2 0.2902 0.8403 0.4401
H1 0.1614 0.2126 0.7065
H2 0.6262 0.6228 0.1299
H3 0.2071 0.7145 0.0360
H4 0.7929 0.2855 0.9640
H5 0.3738 0.3772 0.8701
H6 0.8386 0.7874 0.2935
Ir1 0.0000 0.0000 0.0000
Pt1 0.5000 0.5000 0.0000

Calculated values
- DOS(E_F): 1.344 states/eV per cell
- Energy: -41.69 eV/cell
- Total moment: 0.00 Bohr magnetons per cell
- Theoretical density: 11.06 g/cm³


[14]
CeThSb2 | PBE | relaxed

Unit cell a=5.4507 b=5.4507 c=5.4507 alpha=60.00 beta=60.00 gamma=60.00
Sites, in units of the cell vectors:
Sb1 0.2500 0.2500 0.2500
Sb2 0.7500 0.7500 0.7500
Ce1 0.5000 0.5000 0.5000
Th1 0.0000 0.0000 0.0000

Calculated values
- DOS(E_F): 5.236 states/eV per cell
- Energy: -24.93 eV/cell
- E_form (uncorrected): -0.83 eV per atom
- Total moment: 1.63 Bohr magnetons per cell
- Theoretical density: 8.93 g/cm³


[15]
Y5As | PBE | relaxed

Unit cell a=7.7794 b=7.7794 c=4.8601 alpha=90.00 beta=90.00 gamma=145.26
Sites, in units of the cell vectors:
Y1 0.3335 0.6665 0.5000
Y2 0.1559 0.8441 0.0000
Y3 0.0000 0.0000 0.5000
Y4 0.8441 0.1559 0.0000
Y5 0.6665 0.3335 0.5000
As1 0.5000 0.5000 0.0000

Calculated values
- DOS(E_F): 7.432 states/eV per cell
- Energy: -38.40 eV/cell
- Total moment: 0.00 Bohr magnetons per cell
- Theoretical density: 5.15 g/cm³


[16]
Tl2AgRu | PBE | relaxed

Unit cell a=5.3130 b=3.1438 c=4.9123 alpha=89.99 beta=90.00 gamma=90.00
Sites, in units of the cell vectors:
Ag1 0.0000 0.3753 0.5184
Ru1 0.5000 0.8748 0.7374
Tl1 0.0000 0.8752 0.9991
Tl2 0.5000 0.3747 0.2450

Calculated values
- DOS(E_F): 3.011 states/eV per cell
- Energy: -14.81 eV/cell
- Total moment: 0.63 Bohr magnetons per cell
- Theoretical density: 12.50 g/cm³


[17]
Ce6MnHg2 | PBE | relaxed

Unit cell a=6.7147 b=6.8825 c=9.7843 alpha=90.00 beta=92.86 gamma=90.00
Sites, in units of the cell vectors:
Ce1 0.9825 0.0000 0.2499
Ce2 0.7103 0.7381 0.4849
Ce3 0.7898 0.7621 0.0152
Ce4 0.7102 0.2621 0.4848
Ce5 0.7897 0.2381 0.0151
Ce6 0.5175 0.5000 0.2501
Ce7 0.0175 0.0000 0.7501
Ce8 0.2897 0.2619 0.5151
Ce9 0.2102 0.2379 0.9848
Ce10 0.2898 0.7379 0.5152
Ce11 0.2103 0.7619 0.9849
Ce12 0.4825 0.5000 0.7499
Mn1 0.5000 0.5000 0.0000
Mn2 0.0000 0.0000 0.5000
Hg1 0.9740 0.5000 0.7357
Hg2 0.5260 0.0000 0.7643
Hg3 0.4740 0.0000 0.2357
Hg4 0.0260 0.5000 0.2643

Calculated values
- DOS(E_F): 40.251 states/eV per cell
- Energy: -92.63 eV/cell
- Total moment: 0.00 Bohr magnetons per cell
- Theoretical density: 9.54 g/cm³


[18]
MnCdH | PBE | relaxed

Unit cell a=2.9835 b=2.9835 c=14.6880 alpha=90.00 beta=90.00 gamma=120.00
Sites, in units of the cell vectors:
Mn1 0.0000 0.0000 0.9062
Mn2 0.3333 0.6667 0.5728
Mn3 0.6667 0.3333 0.2395
Cd1 0.0000 0.0000 0.3996
Cd2 0.3333 0.6667 0.0663
Cd3 0.6667 0.3333 0.7329
H1 0.0000 0.0000 0.5585
H2 0.3333 0.6667 0.2251
H3 0.6667 0.3333 0.8918

Calculated values
- DOS(E_F): 5.060 states/eV per cell
- Energy: -38.97 eV/cell
- Total moment: 9.30 Bohr magnetons per cell
- Theoretical density: 7.41 g/cm³


[19]
DyBeCo | PBE | relaxed

Unit cell a=4.9544 b=4.9544 c=4.9544 alpha=93.68 beta=116.62 gamma=119.19
Sites, in units of the cell vectors:
Dy1 0.2500 0.1305 0.8805
Dy2 0.7500 0.8695 0.1195
Be1 0.0000 0.5000 0.5000
Be2 0.5000 0.0000 0.5000
Co1 0.5000 0.5000 0.5000
Co2 0.0000 0.5000 0.0000

Calculated values
- DOS(E_F): 4.394 states/eV per cell
- Energy: -31.46 eV/cell
- Total moment: 0.00 Bohr magnetons per cell
- Theoretical density: 8.65 g/cm³


[20]
RbSnGe3 | PBE | relaxed

Unit cell a=5.4905 b=5.4905 c=5.4905 alpha=90.00 beta=90.00 gamma=90.00
Sites, in units of the cell vectors:
Ge1 0.0000 0.5000 0.0000
Ge2 0.0000 0.0000 0.5000
Ge3 0.5000 0.0000 0.0000
Sn1 0.0000 0.0000 0.0000
Rb1 0.5000 0.5000 0.5000

Calculated values
- DOS(E_F): 4.288 states/eV per cell
- Energy: -16.14 eV/cell
- Total moment: 0.00 Bohr magnetons per cell
- Theoretical density: 4.23 g/cm³


[21]
ThNi2Bi | PBE | relaxed

Unit cell a=4.4590 b=4.4590 c=5.3268 alpha=65.26 beta=65.26 gamma=60.00
Sites, in units of the cell vectors:
Ni1 0.2819 0.2819 0.1543
Ni2 0.7181 0.7181 0.8457
Bi1 0.0000 0.0000 0.0000
Th1 0.5000 0.5000 0.5000

Calculated values
- DOS(E_F): 3.003 states/eV per cell
- Energy: -23.98 eV/cell
- Total moment: 0.00 Bohr magnetons per cell
- Theoretical density: 11.55 g/cm³


[22]
LiFeRuW | PBE | relaxed

Unit cell a=4.1870 b=4.1870 c=4.1870 alpha=60.00 beta=60.00 gamma=60.00
Sites, in units of the cell vectors:
Ru1 0.7500 0.7500 0.7500
Fe1 0.2500 0.2500 0.2500
W1 0.0000 0.0000 0.0000
Li1 0.5000 0.5000 0.5000

Calculated values
- DOS(E_F): 3.801 states/eV per cell
- Energy: -32.26 eV/cell
- Total moment: 0.00 Bohr magnetons per cell
- Theoretical density: 11.12 g/cm³


[23]
Ba2TaP | PBE | relaxed

Unit cell a=4.1149 b=4.1162 c=7.5155 alpha=90.00 beta=90.00 gamma=90.00
Sites, in units of the cell vectors:
Ba1 0.0000 0.0000 0.0304
Ba2 0.0000 0.0000 0.4696
P1 0.5000 0.5000 0.2500
Ta1 0.5000 0.5000 0.7500

Calculated values
- DOS(E_F): 3.427 states/eV per cell
- Energy: -18.93 eV/cell
- Total moment: 3.69 Bohr magnetons per cell
- Theoretical density: 6.35 g/cm³


[24]
KNpAs2O8 | PBE | relaxed

Unit cell a=5.7225 b=5.7225 c=7.8899 alpha=90.00 beta=90.00 gamma=120.00
Sites, in units of the cell vectors:
K1 0.0000 0.0000 0.5000
Np1 0.0000 0.0000 0.0000
As1 0.3333 0.6667 0.7501
As2 0.6667 0.3333 0.2499
O1 0.1711 0.3422 0.8369
O2 0.1711 0.8289 0.8369
O3 0.6578 0.8289 0.8369
O4 0.3422 0.1711 0.1631
O5 0.6667 0.3333 0.4598
O6 0.3333 0.6667 0.5402
O7 0.8289 0.6578 0.1631
O8 0.8289 0.1711 0.1631

Calculated values
- DOS(E_F): 5.572 states/eV per cell
- Energy: -84.61 eV/cell
- E_form (uncorrected): -1.80 eV per atom
- Total moment: 2.00 Bohr magnetons per cell
- Theoretical density: 4.11 g/cm³


[25]
SnGeTeN2 | PBE | relaxed

Unit cell a=4.1328 b=4.1328 c=5.5671 alpha=90.00 beta=90.00 gamma=90.00
Sites, in units of the cell vectors:
Ge1 0.0000 0.0000 0.0000
Te1 0.0000 0.0000 0.5000
Sn1 0.5000 0.5000 0.5000
N1 0.0000 0.5000 0.0000
N2 0.5000 0.0000 0.0000

Calculated values
- DOS(E_F): 3.378 states/eV per cell
- Energy: -22.41 eV/cell
- E_form (uncorrected): 1.20 eV per atom
- Total moment: 1.92 Bohr magnetons per cell
- Theoretical density: 6.06 g/cm³